A relaxed structure of SrMnSO. Source: the Alexandria database, functional PBE with a Hubbard U.

Its total energy is -0.471 Ry per atom.

It has space group P3m1 (No. 156), with a = 3.9691 Å, b = 3.9691 Å, c = 6.1269 Å, α = 90.00°, β = 90.00° and γ = 120.00°. The inequivalent atoms are Sr at (0.0000, 0.0000, 0.0000), Mn at (0.3333, 0.6667, 0.4701), S at (0.6667, 0.3333, 0.6419) and O at (0.3333, 0.6667, 0.1471).